No. 1
! PBE-GGA Sr2InMo, optimized geometry; values from VASP
! - Crystal system: tetragonal
! - Energy: -3.394 eV per atom
&SYSTEM
  ibrav = 0, nat = 8, ntyp = 3
/
ATOMIC_SPECIES
Sr 87.62 Sr.upf
In 114.82 In.upf
Mo 95.94 Mo.upf
ATOMIC_POSITIONS angstrom
Sr 2.2134 2.0249 -0.7917
Sr 2.4018 -2.2134 3.9584
Sr 2.2134 2.4018 2.3751
Sr 2.0249 6.6402 0.7917
In 4.4268 0.0000 1.5834
In 0.0000 0.0000 3.1668
Mo 0.0000 0.0000 0.0000
Mo 0.0000 4.4268 1.5834
CELL_PARAMETERS angstrom
-4.4268 4.4268 3.1668
4.4268 -4.4268 3.1668
4.4268 4.4268 -3.1668

***

No. 2
! PBE-GGA Tl2CoNi, optimized geometry; values from VASP
! - Energy relative to the lowest polymorph listed for this composition: 305.9 meV per atom
! - Crystal system: tetragonal
&SYSTEM
  ibrav = 0, nat = 8, ntyp = 3
/
ATOMIC_SPECIES
Tl 204.38 Tl.upf
Co 58.93 Co.upf
Ni 58.69 Ni.upf
ATOMIC_POSITIONS angstrom
Tl 5.3508 1.7638 -0.7485
Tl 1.7638 1.7836 0.7485
Tl -1.7836 1.8034 2.2456
Tl 1.8034 1.7836 3.7427
Co 3.5672 0.0000 1.4971
Co 0.0000 0.0000 2.9942
Ni 0.0000 0.0000 0.0000
Ni 0.0000 3.5672 1.4971
CELL_PARAMETERS angstrom
-3.5672 3.5672 2.9942
3.5672 -3.5672 2.9942
3.5672 3.5672 -2.9942

***

No. 3
! PBE-GGA LuPa2Re, optimized geometry; values from VASP
! - Energy relative to the lowest polymorph listed for this composition: 168.3 meV per atom
! - Crystal system: trigonal
&SYSTEM
  ibrav = 0, nat = 4, ntyp = 3
/
ATOMIC_SPECIES
Lu 174.97 Lu.upf
Pa 231.04 Pa.upf
Re 186.21 Re.upf
ATOMIC_POSITIONS angstrom
Lu 0.0000 0.0000 0.0000
Pa 0.0000 0.0000 6.0542
Pa 0.0000 0.0000 20.1173
Re 0.0000 0.0000 13.0857
CELL_PARAMETERS angstrom
1.8747 1.0824 8.7238
-1.8747 1.0824 8.7238
0.0000 -2.1648 8.7238

***

No. 4
! PBE-GGA Pm3PrAs4, optimized geometry; values from VASP
! - Energy relative to the lowest polymorph listed for this composition: 2.0 meV per atom
! - Crystal system: orthorhombic
&SYSTEM
  ibrav = 0, nat = 8, ntyp = 3
/
ATOMIC_SPECIES
Pm 145.00 Pm.upf
Pr 140.91 Pr.upf
As 74.92 As.upf
ATOMIC_POSITIONS angstrom
Pm 0.0000 0.0000 0.0000
Pm 2.1281 3.0085 2.1292
Pm 2.1281 -3.0085 2.1292
Pr 4.2562 0.0000 0.0000
As 2.1046 0.0000 2.1292
As 4.2562 3.0245 0.0000
As 4.2562 -3.0245 0.0000
As 6.4079 0.0000 2.1292
CELL_PARAMETERS angstrom
4.2562 -6.0170 0.0000
4.2562 6.0170 0.0000
0.0000 0.0000 4.2585

***

No. 5
! PBE-GGA CaTmSn2Pd4, optimized geometry; values from VASP
! - Crystal system: trigonal
! - Energy: -5.210 eV per atom
&SYSTEM
  ibrav = 0, nat = 8, ntyp = 4
/
ATOMIC_SPECIES
Ca 40.08 Ca.upf
Tm 168.93 Tm.upf
Sn 118.71 Sn.upf
Pd 106.42 Pd.upf
ATOMIC_POSITIONS angstrom
Ca 0.0000 0.0000 0.0000
Tm 0.0000 0.0000 11.8372
Sn 0.0000 0.0000 5.9435
Sn 0.0000 0.0000 17.7309
Pd 0.0000 0.0000 3.0079
Pd 0.0000 0.0000 9.0252
Pd 0.0000 0.0000 14.6492
Pd 0.0000 0.0000 20.6665
CELL_PARAMETERS angstrom
2.3793 1.3737 7.8915
-2.3793 1.3737 7.8915
0.0000 -2.7473 7.8915

***

No. 6
! PBE-GGA NbCl3O, optimized geometry; values from VASP
! - E_form (uncorrected): -1.608 eV/atom
! - Crystal system: orthorhombic
&SYSTEM
  ibrav = 0, nat = 10, ntyp = 3
/
ATOMIC_SPECIES
Nb 92.91 Nb.upf
Cl 35.45 Cl.upf
O 16.00 O.upf
ATOMIC_POSITIONS angstrom
Nb 1.9755 2.8565 0.0000
Nb 1.9755 3.0063 4.0133
Cl 1.9755 0.5812 -0.2999
Cl 3.9906 3.9525 -0.2306
Cl 3.9112 -1.9104 3.7827
Cl -0.0397 1.9104 3.7827
Cl 3.9906 1.9104 3.7827
Cl 1.9755 5.2816 3.7135
O 1.9755 2.8733 1.8014
O 1.9755 2.9895 5.8147
CELL_PARAMETERS angstrom
-3.9509 5.8629 4.0133
3.9509 -5.8629 4.0133
3.9509 5.8629 -4.0133

***

No. 7
! PBE-GGA AgMo2As, optimized geometry; values from VASP
! - Crystal system: orthorhombic
! - Energy: -7.027 eV per atom
&SYSTEM
  ibrav = 0, nat = 4, ntyp = 3
/
ATOMIC_SPECIES
Ag 107.87 Ag.upf
Mo 95.94 Mo.upf
As 74.92 As.upf
ATOMIC_POSITIONS angstrom
Ag 0.0000 0.0000 0.0000
Mo 0.0000 0.0000 4.4802
Mo 1.6370 0.0000 2.3867
As 1.6370 0.0000 6.6055
CELL_PARAMETERS angstrom
1.6370 -2.2680 0.0000
1.6370 2.2680 0.0000
0.0000 0.0000 9.3453

***

No. 8
! PBE-GGA BeAlFe2, optimized geometry; values from VASP
! - Crystal system: cubic
! - Energy: -6.274 eV per atom
&SYSTEM
  ibrav = 0, nat = 4, ntyp = 3
/
ATOMIC_SPECIES
Be 9.01 Be.upf
Al 26.98 Al.upf
Fe 55.84 Fe.upf
ATOMIC_POSITIONS angstrom
Be 0.0000 0.0000 0.0000
Al 4.1941 4.1941 4.1941
Fe 1.3980 1.3980 1.3980
Fe 2.7960 2.7960 2.7960
CELL_PARAMETERS angstrom
0.0000 2.7960 2.7960
2.7960 0.0000 2.7960
2.7960 2.7960 0.0000